Model one:
This record from Alexandria describes a geometry-optimized Ga2AuF structure. The functional is PBE.

- Size of the total moment: 0.00 Bohr magnetons per cell
- V: 22.69 Å³/atom
- Density: 6.5 g cm⁻³

Cell lengths 5.810, 5.810, 10.755 Å; angles 90.00, 90.00, 90.00 degrees
Sites, in units of the cell vectors:
Ga  0.223  0.250  0.125
Ga  0.250  0.723  0.375
Ga  0.250  0.777  0.875
Ga  0.277  0.250  0.625
Ga  0.723  0.750  0.625
Ga  0.750  0.223  0.875
Ga  0.750  0.277  0.375
Ga  0.777  0.750  0.125
Au  0.000  0.000  0.500
Au  0.000  0.500  0.750
Au  0.500  0.000  0.250
Au  0.500  0.500  0.000
F  0.000  0.000  0.000
F  0.000  0.500  0.250
F  0.500  0.000  0.750
F  0.500  0.500  0.500

---

Model two:
This record from Alexandria describes a geometry-optimized Ga2AuF structure. The functional is PBE.

- Size of the total moment: 0.00 Bohr magnetons per cell
- V: 16.82 Å³/atom
- Density: 8.8 g cm⁻³

Cell lengths 6.456, 6.456, 6.456 Å; angles 90.00, 90.00, 90.00 degrees
Sites, in units of the cell vectors:
Ga  0.250  0.250  0.250
Ga  0.250  0.250  0.750
Ga  0.250  0.750  0.250
Ga  0.250  0.750  0.750
Ga  0.750  0.250  0.250
Ga  0.750  0.250  0.750
Ga  0.750  0.750  0.250
Ga  0.750  0.750  0.750
Au  0.000  0.000  0.000
Au  0.000  0.500  0.500
Au  0.500  0.000  0.500
Au  0.500  0.500  0.000
F  0.000  0.000  0.500
F  0.000  0.500  0.000
F  0.500  0.000  0.000
F  0.500  0.500  0.500

---

Tell me which of them is the least stable. Sure, it is model one.

---

Model one:
This record from Alexandria describes a geometry-optimized GeAuF3 structure. The functional is PBE.

- Size of the total moment: 0.00 Bohr magnetons per cell
- V: 15.89 Å³/atom
- Density: 6.8 g cm⁻³

Cell lengths 4.299, 4.299, 4.299 Å; angles 90.00, 90.00, 90.00 degrees
Sites, in units of the cell vectors:
Ge  0.000  0.000  0.000
Au  0.500  0.500  0.500
F  0.000  0.000  0.500
F  0.000  0.500  0.000
F  0.500  0.000  0.000

---

Model two:
This record from Alexandria describes a geometry-optimized GeAuF3 structure. The functional is PBE.

- Size of the total moment: 0.63 Bohr magnetons per cell
- V: 17.73 Å³/atom
- Density: 6.1 g cm⁻³

Cell lengths 4.459, 4.459, 4.459 Å; angles 90.00, 90.00, 90.00 degrees
Sites, in units of the cell vectors:
Ge  0.000  0.000  0.000
Au  0.500  0.500  0.500
F  0.000  0.500  0.500
F  0.500  0.000  0.500
F  0.500  0.500  0.000

---

Tell me which of them is the least stable. Sure, it is model two.

---

Model one:
This record from Alexandria describes a geometry-optimized GeAu2F structure. The functional is PBE.

- Size of the total moment: 0.00 Bohr magnetons per cell
- V: 16.23 Å³/atom
- Density: 12.4 g cm⁻³

Cell lengths 6.380, 6.380, 6.380 Å; angles 90.00, 90.00, 90.00 degrees
Sites, in units of the cell vectors:
Ge  0.000  0.000  0.000
Ge  0.000  0.500  0.500
Ge  0.500  0.000  0.500
Ge  0.500  0.500  0.000
Au  0.250  0.250  0.250
Au  0.250  0.250  0.750
Au  0.250  0.750  0.250
Au  0.250  0.750  0.750
Au  0.750  0.250  0.250
Au  0.750  0.250  0.750
Au  0.750  0.750  0.250
Au  0.750  0.750  0.750
F  0.000  0.000  0.500
F  0.000  0.500  0.000
F  0.500  0.000  0.000
F  0.500  0.500  0.500

---

Model two:
This record from Alexandria describes a geometry-optimized GeAu2F structure. The functional is PBE.

- Size of the total moment: 0.00 Bohr magnetons per cell
- V: 17.71 Å³/atom
- Density: 11.4 g cm⁻³

Cell lengths 7.219, 7.219, 5.438 Å; angles 90.00, 90.00, 90.00 degrees
Sites, in units of the cell vectors:
Ge  0.000  0.000  0.000
Ge  0.000  0.500  0.250
Ge  0.500  0.000  0.750
Ge  0.500  0.500  0.500
Au  0.244  0.250  0.125
Au  0.250  0.744  0.375
Au  0.250  0.756  0.875
Au  0.256  0.250  0.625
Au  0.744  0.750  0.625
Au  0.750  0.244  0.875
Au  0.750  0.256  0.375
Au  0.756  0.750  0.125
F  0.000  0.000  0.500
F  0.000  0.500  0.750
F  0.500  0.000  0.250
F  0.500  0.500  0.000

---

Tell me which of them is the least stable. Sure, it is model one.

---

Model one:
This record from Alexandria describes a geometry-optimized GeAuOF2 structure. The functional is PBE.

- Size of the total moment: 0.00 Bohr magnetons per cell
- V: 16.13 Å³/atom
- Density: 6.7 g cm⁻³

Cell lengths 4.425, 4.425, 4.118 Å; angles 90.00, 90.00, 90.00 degrees
Sites, in units of the cell vectors:
Ge  0.000  0.000  0.000
Au  0.500  0.500  0.500
O  0.500  0.500  0.000
F  0.000  0.500  0.500
F  0.500  0.000  0.500

---

Model two:
This record from Alexandria describes a geometry-optimized GeAuOF2 structure. The functional is PBE.

- Size of the total moment: 0.00 Bohr magnetons per cell
- V: 13.60 Å³/atom
- Density: 7.9 g cm⁻³

Cell lengths 4.251, 4.251, 3.762 Å; angles 90.00, 90.00, 90.00 degrees
Sites, in units of the cell vectors:
Ge  0.000  0.000  0.000
Au  0.500  0.500  0.500
O  0.000  0.000  0.500
F  0.000  0.500  0.000
F  0.500  0.000  0.000

---

Tell me which of them is the least stable. Sure, it is model one.

---

Model one:
This record from Alexandria describes a geometry-optimized H2AuF8 structure. The functional is PBE.

- Size of the total moment: 1.07 Bohr magnetons per cell
- V: 15.24 Å³/atom
- Density: 3.5 g cm⁻³

Cell lengths 4.346, 4.346, 9.411 Å; angles 103.05, 103.05, 81.13 degrees
Sites, in units of the cell vectors:
H  0.137  0.137  0.124
H  0.863  0.863  0.876
Au  0.000  0.000  0.500
F  0.010  0.010  0.151
F  0.074  0.593  0.374
F  0.387  0.387  0.968
F  0.407  0.926  0.626
F  0.593  0.074  0.374
F  0.613  0.613  0.032
F  0.926  0.407  0.626
F  0.990  0.990  0.849

---

Model two:
This record from Alexandria describes a geometry-optimized H2AuF8 structure. The functional is PBE.

- Size of the total moment: 1.11 Bohr magnetons per cell
- V: 12.88 Å³/atom
- Density: 4.1 g cm⁻³

Cell lengths 5.538, 5.538, 5.191 Å; angles 92.94, 92.94, 63.04 degrees
Sites, in units of the cell vectors:
H  0.248  0.248  0.068
H  0.752  0.752  0.932
Au  0.500  0.500  0.500
F  0.213  0.213  0.890
F  0.221  0.692  0.746
F  0.303  0.303  0.368
F  0.308  0.779  0.254
F  0.692  0.221  0.746
F  0.697  0.697  0.632
F  0.779  0.308  0.254
F  0.787  0.787  0.110

---

Tell me which of them is the least stable. Sure, it is model one.

---

Model one:
This record from Alexandria describes a geometry-optimized H2AuF6 structure. The functional is PBE.

- Size of the total moment: 0.00 Bohr magnetons per cell
- V: 12.91 Å³/atom
- Density: 4.5 g cm⁻³

Cell lengths 6.259, 6.259, 6.044 Å; angles 97.14, 97.14, 84.56 degrees
Sites, in units of the cell vectors:
H  0.082  0.171  0.128
H  0.171  0.082  0.628
H  0.829  0.918  0.372
H  0.918  0.829  0.872
Au  0.397  0.603  0.750
Au  0.603  0.397  0.250
F  0.084  0.216  0.617
F  0.126  0.651  0.881
F  0.216  0.084  0.117
F  0.325  0.455  0.384
F  0.349  0.874  0.619
F  0.455  0.325  0.884
F  0.545  0.675  0.116
F  0.651  0.126  0.381
F  0.675  0.545  0.616
F  0.784  0.916  0.883
F  0.874  0.349  0.119
F  0.916  0.784  0.383

---

Model two:
This record from Alexandria describes a geometry-optimized H2AuF6 structure. The functional is PBE.

- Size of the total moment: 2.17 Bohr magnetons per cell
- V: 14.27 Å³/atom
- Density: 4.0 g cm⁻³

Cell lengths 7.290, 7.290, 5.158 Å; angles 102.66, 102.66, 77.41 degrees
Sites, in units of the cell vectors:
H  0.149  0.175  0.111
H  0.175  0.149  0.611
H  0.825  0.851  0.389
H  0.851  0.825  0.889
Au  0.331  0.669  0.250
Au  0.669  0.331  0.750
F  0.107  0.175  0.921
F  0.175  0.107  0.421
F  0.180  0.517  0.344
F  0.244  0.575  0.875
F  0.425  0.756  0.625
F  0.483  0.820  0.156
F  0.517  0.180  0.844
F  0.575  0.244  0.375
F  0.756  0.425  0.125
F  0.820  0.483  0.656
F  0.825  0.893  0.579
F  0.893  0.825  0.079

---

Tell me which of them is the least stable. Sure, it is model one.

---

Model one:
This record from Alexandria describes a geometry-optimized HAuF4 structure. The functional is PBE.

- Size of the total moment: 0.00 Bohr magnetons per cell
- V: 16.21 Å³/atom
- Density: 4.7 g cm⁻³

Cell lengths 6.444, 6.444, 6.444 Å; angles 102.34, 102.34, 124.92 degrees
Sites, in units of the cell vectors:
H  0.000  0.000  0.000
H  0.750  0.250  0.500
Au  0.388  0.888  0.500
Au  0.638  0.638  0.000
F  0.066  0.928  0.138
F  0.154  0.489  0.335
F  0.154  0.819  0.665
F  0.239  0.404  0.835
F  0.569  0.404  0.165
F  0.678  0.041  0.362
F  0.678  0.316  0.638
F  0.791  0.928  0.862

---

Model two:
This record from Alexandria describes a geometry-optimized HAuF4 structure. The functional is PBE.

- Size of the total moment: 0.00 Bohr magnetons per cell
- V: 15.72 Å³/atom
- Density: 4.8 g cm⁻³

Cell lengths 5.629, 6.105, 6.304 Å; angles 75.16, 66.92, 73.69 degrees
Sites, in units of the cell vectors:
H  0.053  0.134  0.206
H  0.947  0.866  0.794
Au  0.492  0.634  0.756
Au  0.508  0.366  0.244
F  0.231  0.149  0.104
F  0.240  0.878  0.643
F  0.264  0.629  0.104
F  0.278  0.381  0.562
F  0.722  0.619  0.438
F  0.736  0.371  0.896
F  0.760  0.122  0.357
F  0.769  0.851  0.896

---

Tell me which of them is the least stable. Sure, it is model one.

---

Model one:
This record from Alexandria describes a geometry-optimized HfAu2F structure. The functional is PBE.

- Size of the total moment: 0.00 Bohr magnetons per cell
- V: 18.46 Å³/atom
- Density: 13.3 g cm⁻³

Cell lengths 7.584, 7.584, 5.136 Å; angles 90.00, 90.00, 90.00 degrees
Sites, in units of the cell vectors:
Hf  0.000  0.000  0.000
Hf  0.000  0.500  0.250
Hf  0.500  0.000  0.750
Hf  0.500  0.500  0.500
Au  0.249  0.250  0.625
Au  0.250  0.749  0.875
Au  0.250  0.751  0.375
Au  0.251  0.250  0.125
Au  0.749  0.750  0.125
Au  0.750  0.249  0.375
Au  0.750  0.251  0.875
Au  0.751  0.750  0.625
F  0.000  0.000  0.500
F  0.000  0.500  0.750
F  0.500  0.000  0.250
F  0.500  0.500  0.000

---

Model two:
This record from Alexandria describes a geometry-optimized HfAu2F structure. The functional is PBE.

- Size of the total moment: 0.00 Bohr magnetons per cell
- V: 17.49 Å³/atom
- Density: 14.0 g cm⁻³

Cell lengths 6.540, 6.540, 6.540 Å; angles 90.00, 90.00, 90.00 degrees
Sites, in units of the cell vectors:
Hf  0.000  0.000  0.000
Hf  0.000  0.500  0.500
Hf  0.500  0.000  0.500
Hf  0.500  0.500  0.000
Au  0.250  0.250  0.250
Au  0.250  0.250  0.750
Au  0.250  0.750  0.250
Au  0.250  0.750  0.750
Au  0.750  0.250  0.250
Au  0.750  0.250  0.750
Au  0.750  0.750  0.250
Au  0.750  0.750  0.750
F  0.000  0.000  0.500
F  0.000  0.500  0.000
F  0.500  0.000  0.000
F  0.500  0.500  0.500

---

Tell me which of them is the least stable. Sure, it is model two.